# BaLi10Zn3 (PBE-GGA, relaxed)
data_BaLi10Zn3
_chemical_formula_sum 'Ba8 Li80 Zn24'
_symmetry_space_group_name_H-M 'F m -3 m'
_symmetry_Int_Tables_number 225
_symmetry_space_group_name_Hall '-F 4 2 3'
_cell_length_a 13.6578
_cell_length_b 13.6578
_cell_length_c 13.6578
_cell_angle_alpha 90.00
_cell_angle_beta 90.00
_cell_angle_gamma 90.00
loop_
_atom_site_label
_atom_site_type_symbol
_atom_site_fract_x
_atom_site_fract_y
_atom_site_fract_z
Ba1 Ba 0.2500 0.2500 0.2500
Li1 Li 0.0000 0.1693 0.1693
Li2 Li 0.1063 0.1063 0.3937
Zn1 Zn 0.0000 0.0000 0.2677
# mass density: 2.10 g/cm3
# spin magnetization: 0.00 Bohr magnetons per cell
# VASP energy: -24.62 eV per formula unit
# DFT formation energy: 0.02 eV/atom

***

# Ba2Li5Zn (PBE-GGA, relaxed)
data_Ba2Li5Zn
_chemical_formula_sum 'Ba4 Li10 Zn2'
_symmetry_space_group_name_H-M 'I 4 m m'
_symmetry_Int_Tables_number 107
_symmetry_space_group_name_Hall 'I 4 -2'
_cell_length_a 6.3852
_cell_length_b 6.3852
_cell_length_c 12.8154
_cell_angle_alpha 90.00
_cell_angle_beta 90.00
_cell_angle_gamma 90.00
loop_
_atom_site_label
_atom_site_type_symbol
_atom_site_fract_x
_atom_site_fract_y
_atom_site_fract_z
Ba1 Ba 0.0000 0.5000 0.0000
Li1 Li 0.0000 0.0000 0.3769
Li2 Li 0.2378 0.2378 0.7421
Zn1 Zn 0.0000 0.0000 0.6051
# mass density: 2.38 g/cm3
# spin magnetization: 0.00 Bohr magnetons per cell
# VASP energy: -14.41 eV per formula unit
# DFT formation energy: 0.04 eV/atom

***

# Ba4Li5Zn2 (PBE-GGA, relaxed)
data_Ba4Li5Zn2
_chemical_formula_sum 'Ba4 Li5 Zn2'
_symmetry_space_group_name_H-M 'P 1 2/m 1'
_symmetry_Int_Tables_number 10
_cell_length_a 7.8136
_cell_length_b 5.3650
_cell_length_c 9.1865
_cell_angle_alpha 90.00
_cell_angle_beta 90.41
_cell_angle_gamma 90.00
loop_
_symmetry_equiv_pos_as_xyz
'x,y,z'
'-x,-y,-z'
'-x,y,-z'
'x,-y,z'
loop_
_atom_site_label
_atom_site_type_symbol
_atom_site_fract_x
_atom_site_fract_y
_atom_site_fract_z
Ba1 Ba 0.2359 0.0000 0.3587
Ba2 Ba 0.2375 0.0000 0.8883
Li1 Li 0.1260 0.5000 0.6344
Li2 Li 0.4535 0.5000 0.1608
Li3 Li 0.5000 0.5000 0.5000
Zn1 Zn 0.0931 0.5000 0.1202
# mass density: 3.08 g/cm3
# spin magnetization: 0.00 Bohr magnetons per cell
# VASP energy: -19.84 eV per formula unit
# DFT formation energy: 0.00 eV/atom

***

# BaLiZn2 (PBE-GGA, relaxed)
data_BaLiZn2
_chemical_formula_sum 'Ba3 Li3 Zn6'
_symmetry_space_group_name_H-M 'R -3 m'
_symmetry_Int_Tables_number 166
_symmetry_space_group_name_Hall '-R 3 2"'
_cell_length_a 4.6348
_cell_length_b 4.6348
_cell_length_c 17.2430
_cell_angle_alpha 90.00
_cell_angle_beta 90.00
_cell_angle_gamma 120.00
loop_
_atom_site_label
_atom_site_type_symbol
_atom_site_fract_x
_atom_site_fract_y
_atom_site_fract_z
Ba1 Ba 0.0000 0.0000 0.0000
Li1 Li 0.0000 0.0000 0.5000
Zn1 Zn 0.0000 0.0000 0.1902
# polymorph energy (0 for the lowest one): 0.00 eV per formula unit
# mass density: 4.27 g/cm3
# spin magnetization: 0.00 Bohr magnetons per cell
# VASP energy: -7.08 eV per formula unit
# DFT formation energy: -0.17 eV/atom

***

# BaLiZn2 (PBE-GGA, relaxed)
data_BaLiZn2
_chemical_formula_sum 'Ba2 Li2 Zn4'
_symmetry_space_group_name_H-M 'I m m 2'
_symmetry_Int_Tables_number 44
_cell_length_a 4.0268
_cell_length_b 5.7884
_cell_length_c 9.1727
_cell_angle_alpha 90.00
_cell_angle_beta 90.00
_cell_angle_gamma 90.00
loop_
_symmetry_equiv_pos_as_xyz
'x,y,z'
'-x,-y,z'
'-x,y,z'
'x,-y,z'
'x+1/2,y+1/2,z+1/2'
'-x+1/2,-y+1/2,z+1/2'
'-x+1/2,y+1/2,z+1/2'
'x+1/2,-y+1/2,z+1/2'
loop_
_atom_site_label
_atom_site_type_symbol
_atom_site_fract_x
_atom_site_fract_y
_atom_site_fract_z
Ba1 Ba 0.0000 0.0000 0.0000
Li1 Li 0.0000 0.5000 0.8153
Zn1 Zn 0.0000 0.0000 0.5389
Zn2 Zn 0.0000 0.5000 0.2064
# polymorph energy (0 for the lowest one): 0.52 eV per formula unit
# mass density: 4.27 g/cm3
# spin magnetization: 0.00 Bohr magnetons per cell
# VASP energy: -6.56 eV per formula unit
# DFT formation energy: -0.04 eV/atom

***

# BaLiZn2 (PBE-GGA, relaxed)
data_BaLiZn2
_chemical_formula_sum 'Ba2 Li2 Zn4'
_symmetry_space_group_name_H-M 'I -4 m 2'
_symmetry_Int_Tables_number 119
_symmetry_space_group_name_Hall 'I -4 -2'
_cell_length_a 5.2702
_cell_length_b 5.2702
_cell_length_c 7.2483
_cell_angle_alpha 90.00
_cell_angle_beta 90.00
_cell_angle_gamma 90.00
loop_
_atom_site_label
_atom_site_type_symbol
_atom_site_fract_x
_atom_site_fract_y
_atom_site_fract_z
Ba1 Ba 0.0000 0.0000 0.0000
Li1 Li 0.0000 0.5000 0.7500
Zn1 Zn 0.0000 0.0000 0.5000
Zn2 Zn 0.0000 0.5000 0.2500
# polymorph energy (0 for the lowest one): 0.77 eV per formula unit
# mass density: 4.54 g/cm3
# spin magnetization: 0.00 Bohr magnetons per cell
# VASP energy: -6.31 eV per formula unit
# DFT formation energy: 0.02 eV/atom